Record 1
A plane-wave DFT calculation with PBE-GGA was carried out for crystalline Sn2RhNCl at its relaxed geometry.

Summary:
ΔE_f (raw): 0.17 eV/atom

a b c (Å): 5.379 5.379 3.748
angles (deg): 90.00 90.00 90.00
Space group P4/mmm (No. 123)
Inequivalent atoms, fractional coordinates:
Sn 0.000 0.500 0.000 (multiplicity 2)
Rh 0.000 0.000 0.500 (multiplicity 1)
N 0.000 0.000 0.000 (multiplicity 1)
Cl 0.500 0.500 0.500 (multiplicity 1)

=====

Record 2
A plane-wave DFT calculation with PBE-GGA was carried out for crystalline TePtO2F at its relaxed geometry.

Summary:
ΔE_f (raw): -0.04 eV/atom

a b c (Å): 4.193 4.193 4.307
angles (deg): 90.00 90.00 90.00
Space group P4/mmm (No. 123)
Inequivalent atoms, fractional coordinates:
Te 0.000 0.000 0.000 (multiplicity 1)
Pt 0.500 0.500 0.500 (multiplicity 1)
O 0.000 0.500 0.000 (multiplicity 2)
F 0.000 0.000 0.500 (multiplicity 1)

=====

no.,E (eV per cell)
1,-24.70
2,-21.17